# 1
Compound: GaCuGe2F
Source: Alexandria via LeMat-Bulk
Functional: PBE
Structure: optimized geometry

The space group is P4/mmm (No. 123) and the conventional cell measures 4.510, 4.510 and 4.529 Å, with angles of 90.00, 90.00 and 90.00 degrees. The asymmetric unit holds Ga at (0.000, 0.000, 0.000), Cu at (0.500, 0.500, 0.000), Ge at (0.000, 0.500, 0.500) and F at (0.000, 0.000, 0.500).

For the size of the total moment, the calculation gives 0.000 μB per atom. Its total energy is -0.1305 hartree per atom. As for the density of states at the Fermi level: 0.6400 states/eV/atom. The uncorrected formation energy comes out at 95 meV per atom.


# 2
Compound: KAlTeBr2
Source: Alexandria via LeMat-Bulk
Functional: PBE
Structure: optimized geometry

The space group is P4/mmm (No. 123) and the conventional cell measures 5.115, 5.115 and 11.360 Å, with angles of 90.00, 90.00 and 90.00 degrees. The asymmetric unit holds K at (0.000, 0.000, 0.000), Al at (0.000, 0.000, 0.500), Te at (0.500, 0.500, 0.000) and Br at (0.000, 0.500, 0.500).

For the size of the total moment, the calculation gives 0.194 μB per atom. Its total energy is -0.0965 hartree per atom. As for the density of states at the Fermi level: 0.9671 states/eV/atom. The uncorrected formation energy comes out at -361 meV per atom.


# 3
Compound: Sm6Tm12In
Source: Alexandria via LeMat-Bulk
Functional: PBE
Structure: optimized geometry

The space group is R-3 (No. 148, hexagonal axes) and the conventional cell measures 11.7885, 11.7885 and 14.8141 Å, with angles of 90.00, 90.00 and 120.00 degrees. The asymmetric unit holds Sm at (0.0124, 0.5896, 0.1811), Tm at (0.0057, 0.1757, 0.6874), Tm at (0.0442, 0.1921, 0.9159) and In at (0.0000, 0.0000, 0.5000).

For the size of the total moment, the calculation gives 0.000 μB per atom. Its total energy is -0.1612 hartree per atom. The calculation puts the formation energy at 0.07 eV per atom. As for the density of states at the Fermi level: 1.2008 states/eV/atom.


# 4
Compound: MgMoAs
Source: Alexandria via LeMat-Bulk
Functional: PBE
Structure: optimized geometry

The space group is I4mm (No. 107) and the conventional cell measures 3.273, 3.273 and 9.593 Å, with angles of 90.00, 90.00 and 90.00 degrees. The asymmetric unit holds Mg at (0.000, 0.000, 0.000), Mo at (0.000, 0.000, 0.309) and As at (0.000, 0.000, 0.690).

For the size of the total moment, the calculation gives 0.000 μB per atom. Its total energy is -0.2138 hartree per atom. The calculation puts the formation energy at -0.12 eV per atom. As for the density of states at the Fermi level: 0.5835 states/eV/atom. The relative energy among the computed polymorphs comes out at 63 meV/atom.


# 5
Compound: Ba2NpS4
Source: Alexandria via LeMat-Bulk
Functional: PBE
Structure: optimized geometry

The space group is C2/m (No. 12) and the conventional cell measures 13.537, 4.137 and 8.316 Å, with angles of 90.00, 118.39 and 90.00 degrees. The asymmetric unit holds Ba at (0.152, 0.000, 0.190), Np at (0.000, 0.500, 0.500), S at (0.049, 0.500, 0.846) and S at (0.149, 0.000, 0.571).

For the size of the total moment, the calculation gives 0.429 μB per atom. Its total energy is -0.2377 hartree per atom. As for the density of states at the Fermi level: 1.4231 states/eV/atom. The relative energy among the computed polymorphs comes out at 56 meV/atom. The uncorrected formation energy comes out at -1710 meV per atom.


# 6
Compound: YTlSb2I
Source: Alexandria via LeMat-Bulk
Functional: PBE
Structure: optimized geometry

The space group is P4/mmm (No. 123) and the conventional cell measures 5.868, 5.868 and 6.096 Å, with angles of 90.00, 90.00 and 90.00 degrees. The asymmetric unit holds Y at (0.000, 0.000, 0.000), Tl at (0.500, 0.500, 0.500), Sb at (0.000, 0.500, 0.000) and I at (0.000, 0.000, 0.500).

For the size of the total moment, the calculation gives 0.000 μB per atom. Its total energy is -0.1423 hartree per atom. As for the density of states at the Fermi level: 1.0662 states/eV/atom. The relative energy among the computed polymorphs comes out at 0 meV/atom. The uncorrected formation energy comes out at -147 meV per atom.


# 7
Compound: UPa2Zn
Source: Alexandria via LeMat-Bulk
Functional: PBE
Structure: optimized geometry

The space group is Fm-3m (No. 225) and the conventional cell measures 6.997, 6.997 and 6.997 Å, with angles of 90.00, 90.00 and 90.00 degrees. The asymmetric unit holds U at (0.000, 0.000, 0.000), Pa at (0.250, 0.250, 0.250) and Zn at (0.000, 0.000, 0.500).

For the size of the total moment, the calculation gives 0.699 μB per atom. Its total energy is -0.2833 hartree per atom. The calculation puts the formation energy at 0.18 eV per atom. As for the density of states at the Fermi level: 2.3276 states/eV/atom. The relative energy among the computed polymorphs comes out at 194 meV/atom.


# 8
Compound: Ba3Li4Mg4
Source: Alexandria via LeMat-Bulk
Functional: PBE
Structure: optimized geometry

The space group is I-43m (No. 217) and the conventional cell measures 9.112, 9.112 and 9.112 Å, with angles of 90.00, 90.00 and 90.00 degrees. The asymmetric unit holds Ba at (0.000, 0.000, 0.500), Li at (0.198, 0.198, 0.802) and Mg at (0.121, 0.121, 0.121).

For the size of the total moment, the calculation gives 0.000 μB per atom. Its total energy is -0.0660 hartree per atom. The calculation puts the formation energy at 0.01 eV per atom. As for the density of states at the Fermi level: 0.7868 states/eV/atom.


# 9
Compound: GePPb
Source: Alexandria via LeMat-Bulk
Functional: PBE
Structure: optimized geometry

The space group is P3m1 (No. 156) and the conventional cell measures 3.6714, 3.6714 and 6.0359 Å, with angles of 90.00, 90.00 and 120.00 degrees. The asymmetric unit holds Ge at (0.0000, 0.0000, 0.0000), P at (0.6667, 0.3333, 0.2031) and Pb at (0.3333, 0.6667, 0.5760).

For the size of the total moment, the calculation gives 0.000 μB per atom. Its total energy is -0.1650 hartree per atom. The calculation puts the formation energy at 0.09 eV per atom. As for the density of states at the Fermi level: 0.4909 states/eV/atom. The relative energy among the computed polymorphs comes out at 0 meV/atom.


# 10
Compound: LiGd2Bi
Source: Alexandria via LeMat-Bulk
Functional: PBE
Structure: optimized geometry

The space group is P4/mmm (No. 123) and the conventional cell measures 4.928, 4.928 and 4.471 Å, with angles of 90.00, 90.00 and 90.00 degrees. The asymmetric unit holds Li at (0.000, 0.000, 0.000), Gd at (0.000, 0.500, 0.500) and Bi at (0.500, 0.500, 0.000).

For the size of the total moment, the calculation gives 3.775 μB per atom. Its total energy is -0.3279 hartree per atom. The calculation puts the formation energy at -0.43 eV per atom. As for the density of states at the Fermi level: 1.1464 states/eV/atom. The relative energy among the computed polymorphs comes out at 0 meV/atom.


# 11
Compound: Ba2InN
Source: Alexandria via LeMat-Bulk
Functional: PBE
Structure: optimized geometry

The space group is I-42d (No. 122) and the conventional cell measures 7.983, 7.983 and 9.228 Å, with angles of 90.00, 90.00 and 90.00 degrees. The asymmetric unit holds Ba at (0.146, 0.750, 0.125), In at (0.000, 0.000, 0.500) and N at (0.000, 0.000, 0.000).

For the size of the total moment, the calculation gives 0.000 μB per atom. Its total energy is -0.1420 hartree per atom. As for the density of states at the Fermi level: 0.2590 states/eV/atom. The uncorrected formation energy comes out at -136 meV per atom.


# 12
Compound: Cs3In2Sn4
Source: Alexandria via LeMat-Bulk
Functional: PBE
Structure: optimized geometry

The space group is P-1 (No. 2) and the conventional cell measures 5.262, 7.752 and 10.297 Å, with angles of 71.13, 75.67 and 70.35 degrees. The asymmetric unit holds Cs at (0.000, 0.000, 0.000), Cs at (0.374, 0.886, 0.359), In at (0.309, 0.646, 0.753), Sn at (0.073, 0.479, 0.354) and Sn at (0.286, 0.378, 0.050).

For the size of the total moment, the calculation gives 0.000 μB per atom. Its total energy is -0.1022 hartree per atom. The calculation puts the formation energy at -0.11 eV per atom. As for the density of states at the Fermi level: 0.4933 states/eV/atom. The relative energy among the computed polymorphs comes out at 68 meV/atom.


# 13
Compound: CaZnRh2
Source: Alexandria via LeMat-Bulk
Functional: PBE
Structure: optimized geometry

The space group is Pm (No. 6) and the conventional cell measures 2.964, 4.553 and 5.191 Å, with angles of 90.00, 103.10 and 90.00 degrees. The asymmetric unit holds Ca at (0.000, 0.000, 0.000), Zn at (0.402, 0.500, 0.756), Rh at (0.344, 0.000, 0.509) and Rh at (0.732, 0.500, 0.327).

For the size of the total moment, the calculation gives 0.000 μB per atom. Its total energy is -0.1708 hartree per atom. The calculation puts the formation energy at -0.15 eV per atom. As for the density of states at the Fermi level: 1.1966 states/eV/atom.